## DySiSn2 (PBE)

Data for DySiSn2 after structural relaxation.

Calculated values
Total DFT energy (no corrections), Ha/atom: -0.1757
Fermi-level density of states, states/eV/f.u.: 1.5
Formation energy from raw total energies, eV per atom: -0.2745
Total magnetization, μB/cell: 0.00
Symmetry: P4/mmm
Mass density, g/cm³: 7.6

Cell: 4.7357 4.4491 4.4491 Å, 90.00 90.00 90.00°
Atoms (fractional coordinates):
Si 0.5000 0.0000 0.0000
Sn 0.0000 0.0000 0.5000
Sn 0.0000 0.5000 0.0000
Dy 0.5000 0.5000 0.5000

=====

## Ba2Na3MgBi4 (PBE)

Data for Ba2Na3MgBi4 after structural relaxation.

Calculated values
Total DFT energy (no corrections), Ha/atom: -0.1116
Fermi-level density of states, states/eV/f.u.: 1.5
Total magnetization, μB/cell: 0.00
Symmetry: P-4m2
Formation energy, meV/atom: -546
Mass density, g/cm³: 5.9

Cell: 5.1146 5.1146 12.9378 Å, 90.00 90.00 90.00°
Atoms (fractional coordinates):
Ba 0.5000 0.0000 0.2417
Ba 0.0000 0.5000 0.7583
Na 0.0000 0.0000 0.5000
Na 0.5000 0.0000 0.8647
Na 0.0000 0.5000 0.1353
Mg 0.5000 0.5000 0.5000
Bi 0.5000 0.5000 0.0000
Bi 0.0000 0.0000 0.0000
Bi 0.5000 0.0000 0.6352
Bi 0.0000 0.5000 0.3648

=====

## Pa3TiTl4O12 (PBE)

Data for Pa3TiTl4O12 after structural relaxation.

Calculated values
Total DFT energy (no corrections), Ha/atom: -0.2852
Fermi-level density of states, states/eV/f.u.: 5.7
Formation energy from raw total energies, eV per atom: -2.4921
Total magnetization, μB/cell: 0.00
Symmetry: Im-3m
Mass density, g/cm³: 9.1

Cell: 7.4573 7.4573 7.4573 Å, 109.47 109.47 109.47°
Atoms (fractional coordinates):
Pa 0.5000 0.0000 0.5000
Pa 0.5000 0.5000 0.0000
Pa 0.0000 0.5000 0.5000
Ti 0.0000 0.0000 0.0000
Tl 0.5000 0.5000 0.5000
Tl 0.0000 0.0000 0.5000
Tl 0.5000 0.0000 0.0000
Tl 0.0000 0.5000 0.0000
O 0.2500 0.5000 0.7500
O 0.7613 0.0000 0.7613
O 0.2387 0.0000 0.2387
O 0.7500 0.5000 0.2500
O 0.7613 0.7613 0.0000
O 0.2387 0.2387 0.0000
O 0.7500 0.2500 0.5000
O 0.2500 0.7500 0.5000
O 0.5000 0.2500 0.7500
O 0.0000 0.7613 0.7613
O 0.5000 0.7500 0.2500
O 0.0000 0.2387 0.2387

=====

## Rb2CdHgAu (PBE)

Data for Rb2CdHgAu after structural relaxation.

Calculated values
Total DFT energy (no corrections), Ha/atom: -0.0541
Fermi-level density of states, states/eV/f.u.: 2.1
Total magnetization, μB/cell: 0.00
Symmetry: P4/nmm
Formation energy, meV/atom: -187
Mass density, g/cm³: 6.0

Cell: 4.8906 4.8906 15.8425 Å, 90.00 90.00 90.00°
Atoms (fractional coordinates):
Rb 0.0000 0.5000 0.6753
Rb 0.0000 0.5000 0.1592
Rb 0.5000 0.0000 0.8408
Rb 0.5000 0.0000 0.3247
Cd 0.0000 0.0000 0.5000
Cd 0.5000 0.5000 0.5000
Hg 0.5000 0.0000 0.0613
Hg 0.0000 0.5000 0.9387
Au 0.5000 0.0000 0.6007
Au 0.0000 0.5000 0.3993

=====

## Pm3PuU2N6 (PBE)

Data for Pm3PuU2N6 after structural relaxation.

Calculated values
Total DFT energy (no corrections), Ha/atom: -0.3615
Fermi-level density of states, states/eV/f.u.: 13.9
Formation energy from raw total energies, eV per atom: -1.4122
Total magnetization, μB/cell: 6.76
Symmetry: C2/m
Mass density, g/cm³: 11.1

Cell: 3.5188 7.0557 7.8779 Å, 103.29 102.90 90.00°
Each line ends with the local moment (μB).
Atoms (fractional coordinates):
Pm 0.5000 0.5000 0.0000  0.05
Pm 0.8345 0.1654 0.6689  0.04
Pm 0.1655 0.8346 0.3311  0.04
Pu 0.5000 0.0000 0.0000  4.70
U 0.8337 0.6689 0.6673  0.96
U 0.1663 0.3311 0.3327  0.96
N 0.3362 0.8907 0.6724  -0.06
N 0.6735 0.5622 0.3471  -0.04
N 0.6638 0.1093 0.3276  -0.06
N 0.0131 0.2442 0.0261  -0.10
N 0.9869 0.7558 0.9739  -0.10
N 0.3265 0.4378 0.6529  -0.04

=====

## Hf2Nb2W (PBE)

Data for Hf2Nb2W after structural relaxation.

Calculated values
Total DFT energy (no corrections), Ha/atom: -0.3672
Fermi-level density of states, states/eV/f.u.: 7.7
Total magnetization, μB/cell: 0.00
Symmetry: P4/mbm
Formation energy, meV/atom: 607
Mass density, g/cm³: 12.1

Cell: 7.3407 7.3407 3.7067 Å, 90.00 90.00 90.00°
Atoms (fractional coordinates):
Nb 0.1616 0.6616 0.5000
Nb 0.6616 0.8384 0.5000
Nb 0.8384 0.3384 0.5000
Nb 0.3384 0.1616 0.5000
Hf 0.3560 0.8560 0.0000
Hf 0.8560 0.6440 0.0000
Hf 0.6440 0.1440 0.0000
Hf 0.1440 0.3560 0.0000
W 0.0000 0.0000 0.0000
W 0.5000 0.5000 0.0000